18
Lattice="-2.150 -4.651 2.119 -0.214 0.914 -5.464 8.279 -4.303 -1.044" Properties=species:S:1:pos:R:3 comment="GGA-PBE ScUTlO6, optimized geometry" raw_formation_energy_ev_per_atom=-2.415 n_ef_per_ev_atom=0.00 pbc="T T T"
U 5.350 -4.168 -3.720
U 0.565 -3.871 -0.670
O 5.610 -5.943 -4.822
O 0.304 -2.096 0.432
O 4.303 -3.252 -5.301
O -1.113 -4.774 0.226
O -0.580 -3.141 -2.279
O 3.614 -5.133 -3.018
O 6.495 -4.898 -2.111
O 5.046 -2.515 -2.450
O 1.611 -4.787 0.912
O 7.028 -3.265 -4.615
O 2.300 -2.907 -1.371
O 0.868 -5.524 -1.939
Tl 1.210 -2.016 -3.198
Tl 4.704 -6.023 -1.192
Sc 0.000 0.000 0.000
Sc 4.139 -2.151 -0.522